Record 1
A plane-wave DFT calculation with PBE was carried out for a relaxed Hf2ZrPd7 crystal.

Lattice parameters (Å, degrees): 4.1589 7.8573 7.8573 125.36 90.00 90.00
Closest atoms and distances in Å follow each position.
Sites, in units of the cell vectors:
Pd  0.0000  0.2007  0.7993  2 Hf 2.56, 1 Zr 2.80, 4 Pd 2.83
Pd  0.5000  0.2871  0.0823  1 Hf 2.60, 5 Pd 2.66-2.86, 2 Zr 2.85
Pd  0.5000  0.7129  0.9177  1 Hf 2.60, 5 Pd 2.66-2.86, 2 Zr 2.85
Pd  0.5000  0.0823  0.2871  1 Hf 2.60, 5 Pd 2.66-2.86, 2 Zr 2.85
Pd  0.0000  0.7993  0.2007  2 Hf 2.56, 1 Zr 2.80, 4 Pd 2.83
Pd  0.5000  0.9177  0.7129  1 Hf 2.60, 5 Pd 2.66-2.86, 2 Zr 2.85
Pd  0.5000  0.5000  0.5000  4 Pd 2.69, 2 Hf 2.69
Hf  0.5000  0.3074  0.6926  5 Pd 2.56-2.69
Hf  0.5000  0.6926  0.3074  5 Pd 2.56-2.69
Zr  0.0000  0.0000  0.0000  10 Pd 2.80-2.85

Computed properties:
Formation energy in eV/atom: -0.165
Spin magnetization in μB/cell: 0.0
SG: Cmmm, No. 65



Record 2
A plane-wave DFT calculation with PBE was carried out for a relaxed Hf3ZrPd4 crystal.

Lattice parameters (Å, degrees): 6.0883 6.0883 6.0883 98.94 103.13 128.14
Closest atoms and distances in Å follow each position.
Sites, in units of the cell vectors:
Pd  0.0167  0.3178  0.3345  3 Hf 2.54-2.80, 2 Pd 2.74, 1 Zr 2.75
Pd  0.5185  0.7500  0.7685  3 Hf 2.59-2.85, 4 Pd 2.66-2.74
Pd  0.0167  0.6822  0.6990  3 Hf 2.54-2.80, 2 Pd 2.74, 1 Zr 2.75
Pd  0.0185  0.2500  0.7685  3 Hf 2.59-2.85, 4 Pd 2.66-2.74
Hf  0.0620  0.0000  0.0620  4 Pd 2.54-2.59
Hf  0.4057  0.7895  0.1952  5 Pd 2.80-3.06, 1 Hf 3.09
Hf  0.4057  0.2105  0.6162  5 Pd 2.80-3.06, 1 Hf 3.09
Zr  0.7072  0.5000  0.2072  2 Pd 2.75, 2 Hf 2.88

Computed properties:
Formation energy in eV/atom: -0.212
Spin magnetization in μB/cell: 0.0
SG: Imm2, No. 44



Record 3
A plane-wave DFT calculation with PBE was carried out for a relaxed HfZr2Pd2 crystal.

Lattice parameters (Å, degrees): 7.8658 7.8658 3.2113 90.00 90.00 90.00
Closest atoms and distances in Å follow each position.
Sites, in units of the cell vectors:
Pd  0.1359  0.6359  0.5000  6 Zr 2.76-2.85, 1 Pd 3.02
Pd  0.3641  0.1359  0.5000  6 Zr 2.76-2.85, 1 Pd 3.02
Pd  0.6359  0.8641  0.5000  6 Zr 2.76-2.85, 1 Pd 3.02
Pd  0.8641  0.3641  0.5000  6 Zr 2.76-2.85, 1 Pd 3.02
Zr  0.6618  0.1618  0.0000  6 Pd 2.76-2.85, 2 Hf 2.95
Zr  0.3382  0.8382  0.0000  6 Pd 2.76-2.85, 2 Hf 2.95
Zr  0.8382  0.6618  0.0000  6 Pd 2.76-2.85, 2 Hf 2.95
Zr  0.1618  0.3382  0.0000  6 Pd 2.76-2.85, 2 Hf 2.95
Hf  0.0000  0.0000  0.0000  4 Zr 2.95, 2 Hf 3.21
Hf  0.5000  0.5000  0.0000  4 Zr 2.95, 2 Hf 3.21

Computed properties:
Formation energy in eV/atom: -0.288
Spin magnetization in μB/cell: 0.0
SG: P4/mbm, No. 127



Please write out number 1 again, unchanged.
A plane-wave DFT calculation with PBE was carried out for a relaxed Hf2ZrPd7 crystal.

Lattice parameters (Å, degrees): 4.1589 7.8573 7.8573 125.36 90.00 90.00
Closest atoms and distances in Å follow each position.
Sites, in units of the cell vectors:
Pd  0.0000  0.2007  0.7993  2 Hf 2.56, 1 Zr 2.80, 4 Pd 2.83
Pd  0.5000  0.2871  0.0823  1 Hf 2.60, 5 Pd 2.66-2.86, 2 Zr 2.85
Pd  0.5000  0.7129  0.9177  1 Hf 2.60, 5 Pd 2.66-2.86, 2 Zr 2.85
Pd  0.5000  0.0823  0.2871  1 Hf 2.60, 5 Pd 2.66-2.86, 2 Zr 2.85
Pd  0.0000  0.7993  0.2007  2 Hf 2.56, 1 Zr 2.80, 4 Pd 2.83
Pd  0.5000  0.9177  0.7129  1 Hf 2.60, 5 Pd 2.66-2.86, 2 Zr 2.85
Pd  0.5000  0.5000  0.5000  4 Pd 2.69, 2 Hf 2.69
Hf  0.5000  0.3074  0.6926  5 Pd 2.56-2.69
Hf  0.5000  0.6926  0.3074  5 Pd 2.56-2.69
Zr  0.0000  0.0000  0.0000  10 Pd 2.80-2.85

Computed properties:
Formation energy in eV/atom: -0.165
Spin magnetization in μB/cell: 0.0
SG: Cmmm, No. 65